Here is YTa2Tl3O9 after structural relaxation from the Alexandria database. Energies are from GGA-PBE.

```
YTa2Tl3O9
1.0
-3.9467 0.1276 4.3663
5.5101 -1.7787 1.0639
1.9347 6.9186 1.5467
Y Ta Tl O
1 2 3 9
direct
0.0000 0.0000 0.5000 Y
0.3333 0.6667 0.1653 Ta
0.6667 0.3333 0.8347 Ta
0.3333 0.6667 0.6825 Tl
0.0000 0.0000 0.0000 Tl
0.6667 0.3333 0.3175 Tl
0.8260 0.1740 0.6895 O
0.8260 0.6520 0.6895 O
0.3480 0.1740 0.6895 O
0.6520 0.8260 0.3105 O
0.1740 0.3480 0.3105 O
0.1740 0.8260 0.3105 O
0.5000 0.0000 0.0000 O
0.0000 0.5000 0.0000 O
0.5000 0.5000 0.0000 O
```

**Volume**: 220.6 Å³/cell
**Mass density**: 9.1 g/cm3
**M_tot**: 0.0 μB/f.u.
**Symmetry**: P-3m1 (164)
**Total energy**: -0.55410 Ry per atom
**ΔE_f (raw)**: -2.08 eV/atom
**N(E_F)**: 10.58 states/eV per cell

---

Here is TaTlZnO4 after structural relaxation from the Alexandria database. Energies are from GGA-PBE.

```
TaTlZnO4
1.0
5.6385 0.0000 -0.8142
0.0000 5.9314 0.0000
-3.2357 0.0000 8.8967
Ta Tl Zn O
2 2 2 8
direct
0.1349 0.7500 0.2769 Ta
0.8651 0.2500 0.7231 Ta
0.2610 0.7500 0.9447 Tl
0.7390 0.2500 0.0553 Tl
0.8495 0.7500 0.4792 Zn
0.1505 0.2500 0.5208 Zn
0.9565 0.4969 0.6337 O
0.0435 0.9969 0.3663 O
0.0435 0.5031 0.3663 O
0.9565 0.0031 0.6337 O
0.9168 0.7500 0.0583 O
0.0832 0.2500 0.9417 O
0.4853 0.7500 0.3121 O
0.5147 0.2500 0.6879 O
```

**Volume**: 281.9 Å³/cell
**Mass density**: 6.1 g/cm3
**M_tot**: 0.0 μB/f.u.
**Symmetry**: P2_1/m (11)
**Total energy**: -0.51076 Ry per atom
**ΔE_f (raw)**: -1.90 eV/atom
**N(E_F)**: 0.00 states/eV per cell

---

Here is Zr2TaTlO8 after structural relaxation from the Alexandria database. Energies are from GGA-PBE.

```
Zr2TaTlO8
1.0
-2.0250 -1.5853 -4.1801
3.6704 -3.2169 -0.4900
-3.5096 -4.5246 3.4162
Zr Ta Tl O
2 1 1 8
direct
0.5000 0.5000 0.7532 Zr
0.5000 0.5000 0.2468 Zr
0.0000 0.0000 0.0000 Ta
0.0000 0.0000 0.5000 Tl
0.1975 0.8016 0.2167 O
0.7037 0.7045 0.0000 O
0.8025 0.1984 0.2167 O
0.8025 0.1984 0.7833 O
0.2963 0.2955 0.0000 O
0.1975 0.8016 0.7833 O
0.6847 0.6858 0.5000 O
0.3153 0.3142 0.5000 O
```

**Volume**: 160.5 Å³/cell
**Mass density**: 7.2 g/cm3
**M_tot**: 0.0 μB/f.u.
**Symmetry**: Cmmm (65)
**Total energy**: -0.62547 Ry per atom
**ΔE_f (raw)**: -2.59 eV/atom
**N(E_F)**: 0.00 states/eV per cell

---

Here is Tm2TaO after structural relaxation from the Alexandria database. Energies are from GGA-PBE.

```
Tm2TaO
1.0
3.1952 0.0000 0.0000
1.5976 2.7671 0.0000
1.5976 0.9224 8.7069
Tm O Ta
2 1 1
direct
0.1120 0.1120 0.6641 Tm
0.8880 0.8880 0.3359 Tm
0.5000 0.5000 0.5000 O
0.0000 0.0000 0.0000 Ta
```

**Volume**: 77.0 Å³/cell
**Mass density**: 11.5 g/cm3
**M_tot**: 0.8 μB/f.u.
**Symmetry**: R-3m (166)
**Total energy**: -0.53564 Ry per atom
**ΔE_f (raw)**: -0.85 eV/atom
**N(E_F)**: 2.04 states/eV per cell